The following is a PBE-GGA calculation of BaSr4Co after structural relaxation, from the Alexandria database.

Properties
V: 317.06 Å³/f.u.
Energy of formation from the pure elements: 724.6 meV per atom
Density of states at the Fermi level: 4.68 states/eV/f.u.

a = 7.6540 Å, b = 7.6540 Å, c = 7.6540 Å
α = 60.00°, β = 60.00°, γ = 60.00°
Last column: nearest neighbours and their distance in Å.
Fractional positions:
Ba 0.7500 0.7500 0.7500  12 Sr 4.49, 4 Co 4.69
Sr 0.3746 0.8762 0.3746  6 Sr 3.81-3.84
Sr 0.8762 0.3746 0.3746  6 Sr 3.81-3.84
Co 0.0000 0.0000 0.0000  12 Sr 4.49, 4 Ba 4.69
Sr 0.3746 0.3746 0.8762  6 Sr 3.81-3.84
Sr 0.3746 0.3746 0.3746  6 Sr 3.81-3.84


The following is a PBE-GGA calculation of BeCrPb2W after structural relaxation, from the Alexandria database.

Properties
V: 119.52 Å³/f.u.
Energy of formation from the pure elements: 1530.7 meV per atom
Density of states at the Fermi level: 4.78 states/eV/f.u.

a = 5.1328 Å, b = 4.5364 Å, c = 5.1328 Å
α = 90.00°, β = 90.00°, γ = 90.00°
Last column: nearest neighbours and their distance in Å.
Fractional positions:
Be 0.5000 0.5000 0.5000  8 Pb 3.43, 4 W 3.63
Cr 0.0000 0.0000 0.0000  2 W 2.27
W 0.0000 0.5000 0.0000  2 Cr 2.27
Pb 0.0000 0.0000 0.5000  2 Cr 2.57
Pb 0.5000 0.0000 0.0000  2 Cr 2.57


The following is a PBE-GGA calculation of MgTi2Pb after structural relaxation, from the Alexandria database.

Properties
V: 85.57 Å³/f.u.
Energy of formation from the pure elements: 431.3 meV per atom
Density of states at the Fermi level: 4.92 states/eV/f.u.

a = 7.7264 Å, b = 7.7264 Å, c = 6.1699 Å
α = 51.23°, β = 51.23°, γ = 90.00°
Last column: nearest neighbours and their distance in Å.
Fractional positions:
Ti 0.3750 0.3714 0.7500  2 Pb 2.81, 2 Mg 2.84, 2 Ti 2.87
Ti 0.1214 0.6250 0.2500  2 Pb 2.81, 2 Mg 2.84, 2 Ti 2.87
Pb 0.7500 0.2500 0.5000  4 Ti 2.81, 2 Mg 2.87
Mg 0.2500 0.7500 0.5000  4 Ti 2.84, 2 Pb 2.87
Mg 0.5000 0.5000 0.0000  4 Ti 2.84, 2 Pb 2.87
Ti 0.6286 0.1250 0.2500  2 Pb 2.81, 2 Mg 2.84, 2 Ti 2.87
Ti 0.8750 0.8786 0.7500  2 Pb 2.81, 2 Mg 2.84, 2 Ti 2.87
Pb 0.0000 0.0000 0.0000  4 Ti 2.81, 2 Mg 2.87


The following is a PBE-GGA calculation of LaTlSnBr6 after structural relaxation, from the Alexandria database.

Properties
V: 369.81 Å³/f.u.
Density of states at the Fermi level: 0.00 states/eV/f.u.
Formation energy from raw total energies: -1343 meV per atom

a = 7.7412 Å, b = 7.7412 Å, c = 14.2514 Å
α = 90.00°, β = 90.00°, γ = 120.00°
Last column: nearest neighbours and their distance in Å.
Fractional positions:
Br 0.9956 0.3603 0.1332  1 La 2.96, 1 Sn 3.00
Br 0.6353 0.9956 0.8668  1 La 2.96, 1 Sn 3.00
Br 0.3647 0.3603 0.3668  1 La 2.96, 1 Sn 3.00
Br 0.6397 0.0044 0.3668  1 La 2.96, 1 Sn 3.00
Sn 0.6667 0.3333 0.7500  6 Br 3.00
Br 0.9956 0.6353 0.3668  1 La 2.96, 1 Sn 3.00
La 0.6667 0.3333 0.2500  6 Br 2.96
Sn 0.3333 0.6667 0.2500  6 Br 3.00
Br 0.6397 0.6353 0.1332  1 La 2.96, 1 Sn 3.00
Tl 0.0000 0.0000 0.5000  6 Br 3.39
Br 0.3603 0.9956 0.6332  1 La 2.96, 1 Sn 3.00
Br 0.0044 0.3647 0.6332  1 La 2.96, 1 Sn 3.00
Br 0.6353 0.6397 0.6332  1 La 2.96, 1 Sn 3.00
Br 0.3603 0.3647 0.8668  1 La 2.96, 1 Sn 3.00
Br 0.3647 0.0044 0.1332  1 La 2.96, 1 Sn 3.00
La 0.3333 0.6667 0.7500  6 Br 2.96
Br 0.0044 0.6397 0.8668  1 La 2.96, 1 Sn 3.00
Tl 0.0000 0.0000 0.0000  6 Br 3.39


The following is a PBE-GGA calculation of YV2CuP after structural relaxation, from the Alexandria database.

Properties
V: 97.34 Å³/f.u.
Energy of formation from the pure elements: 220.4 meV per atom
Density of states at the Fermi level: 4.42 states/eV/f.u.

a = 4.3550 Å, b = 5.1323 Å, c = 4.3550 Å
α = 90.00°, β = 90.00°, γ = 90.00°
Last column: nearest neighbours and their distance in Å.
Fractional positions:
Y 0.0000 0.5000 0.0000  2 P 2.57
P 0.0000 0.0000 0.0000  4 V 2.18
V 0.5000 0.0000 0.0000  2 P 2.18
Cu 0.5000 0.5000 0.5000  4 Y 3.08, 8 V 3.37
V 0.0000 0.0000 0.5000  2 P 2.18


The following is a PBE-GGA calculation of Pm2MnAlPt6 after structural relaxation, from the Alexandria database.

Properties
V: 212.62 Å³/f.u.
Energy of formation from the pure elements: -747.0 meV per atom
Density of states at the Fermi level: 4.33 states/eV/f.u.

a = 8.3867 Å, b = 5.6357 Å, c = 8.3860 Å
α = 70.37°, β = 39.27°, γ = 90.01°
Last column: nearest neighbours and their distance in Å.
Fractional positions:
Pt 0.2515 0.2496 0.5009  1 Al 2.51, 1 Mn 2.54, 2 Pt 2.81
Mn 0.5000 0.5000 0.0000  6 Pt 2.54
Pt 0.7505 0.2497 0.0018  1 Al 2.51, 1 Mn 2.54, 2 Pt 2.81
Pm 0.2046 0.7955 0.4090  9 Pt 3.01-3.27, 3 Mn 3.37
Pt 0.2495 0.7503 0.9982  1 Al 2.51, 1 Mn 2.54, 2 Pt 2.81
Pt 0.2495 0.2512 0.9982  1 Al 2.51, 1 Mn 2.54, 2 Pt 2.81
Pm 0.7954 0.2045 0.5910  9 Pt 3.01-3.27, 3 Mn 3.37
Pt 0.7485 0.7504 0.4991  1 Al 2.51, 1 Mn 2.54, 2 Pt 2.81
Al 0.0000 0.0000 0.0000  6 Pt 2.51
Pt 0.7505 0.7488 0.0018  1 Al 2.51, 1 Mn 2.54, 2 Pt 2.81


The following is a PBE-GGA calculation of Nd2HoHg after structural relaxation, from the Alexandria database.

Properties
V: 126.97 Å³/f.u.
Excess energy over the best structure of this formula in the dataset: 97.4 meV per atom
Energy of formation from the pure elements: -130.6 meV per atom
Density of states at the Fermi level: 4.15 states/eV/f.u.

a = 3.6736 Å, b = 3.6736 Å, c = 11.0688 Å
α = 80.45°, β = 80.45°, γ = 60.00°
Last column: nearest neighbours and their distance in Å.
Fractional positions:
Nd 0.7443 0.7443 0.7670  3 Hg 3.30, 3 Ho 3.59, 6 Nd 3.67
Ho 0.5000 0.5000 0.5000  6 Nd 3.59, 6 Ho 3.67
Hg 0.0000 0.0000 0.0000  6 Nd 3.30, 6 Hg 3.67
Nd 0.2557 0.2557 0.2330  3 Hg 3.30, 3 Ho 3.59, 6 Nd 3.67


The following is a PBE-GGA calculation of TaAuO2 after structural relaxation, from the Alexandria database.

Properties
V: 61.78 Å³/f.u.
Excess energy over the best structure of this formula in the dataset: 0.0 meV per atom
Density of states at the Fermi level: 1.68 states/eV/f.u.
Formation energy from raw total energies: -1562 meV per atom

a = 8.3936 Å, b = 8.3936 Å, c = 8.3936 Å
α = 20.22°, β = 20.22°, γ = 20.22°
Last column: nearest neighbours and their distance in Å.
Fractional positions:
O 0.1190 0.1190 0.1190  3 Ta 2.07
O 0.8810 0.8810 0.8810  3 Ta 2.07
Au 0.0000 0.0000 0.0000  2 O 2.93, 6 Au 2.95
Ta 0.5000 0.5000 0.5000  6 O 2.07